Sc2Ge2Pd, optimized geometry, DFT PBE-GGA; energy of formation from the pure elements = -0.4275 eV/atom; size of the total moment = 0.0 Bohr magnetons per cell; total energy = -5.85 eV per atom; energy relative to the lowest polymorph listed for this composition = 444.8 meV/atom
1.0
-1.7973 1.7973 7.6572
1.7973 -1.7973 7.6572
1.7973 1.7973 -7.6572
Sc Ge Pd
2 2 1
direct
0.1021 0.1021 0.0000
0.8979 0.8979 0.0000
0.2500 0.7500 0.5000
0.7500 0.2500 0.5000
0.5000 0.5000 0.0000